(1)
The following is a PBE calculation of Cd9Ga2Hg after structural relaxation, from Alexandria via LeMat-Bulk.

Properties
The symmetry is P4/mmm, No. 123. The spin magnetization comes out at 0.00 μB per cell. Its formation energy is 0.5 eV/f.u.

a b c (Å): 4.4613 4.4613 13.3780
angles (deg): 90.00 90.00 90.00
Element x y z (fractional)
Cd1 0.5000 0.0000 0.8280
Cd2 0.0000 0.5000 0.8280
Cd3 0.5000 0.0000 0.5000
Cd4 0.5000 0.5000 0.6638
Cd5 0.5000 0.5000 0.3362
Cd6 0.0000 0.5000 0.5000
Cd7 0.5000 0.5000 0.0000
Cd8 0.0000 0.5000 0.1720
Cd9 0.5000 0.0000 0.1720
Ga1 0.0000 0.0000 0.3350
Ga2 0.0000 0.0000 0.6650
Hg1 0.0000 0.0000 0.0000


(2)
The following is a PBE calculation of Li2PaTcO6 after structural relaxation, from Alexandria via LeMat-Bulk.

Properties
The formation energy without anion corrections is -2340 meV per atom. The symmetry is R-3, No. 148. The spin magnetization comes out at 2.00 μB per cell.

a b c (Å): 5.2264 5.2263 5.8846
angles (deg): 63.63 63.63 60.00
Last column: magnetic moment on the atom in μB.
Element x y z (fractional)
O1 0.4252 0.6827 0.8297  0.02
O2 0.2072 0.9495 0.2733  0.02
O3 0.0625 0.4252 0.8297  0.02
O4 0.9495 0.5700 0.2733  0.02
O5 0.5699 0.2072 0.2733  0.02
O6 0.6827 0.0624 0.8297  0.02
Li1 0.0195 0.0194 0.9415  0.01
Li2 0.6128 0.6128 0.1616  0.01
Pa1 0.8162 0.8162 0.5515  0.17
Tc1 0.3162 0.3161 0.0515  1.52


(3)
The following is a PBE calculation of GaBiSbI2 after structural relaxation, from Alexandria via LeMat-Bulk.

Properties
The formation energy without anion corrections is 303 meV per atom. The symmetry is P4/mmm, No. 123. The spin magnetization comes out at 0.00 μB per cell.

a b c (Å): 5.4824 5.4824 5.6369
angles (deg): 90.00 90.00 90.00
Element x y z (fractional)
I1 0.0000 0.5000 0.0000
I2 0.5000 0.0000 0.0000
Ga1 0.0000 0.0000 0.0000
Sb1 0.0000 0.0000 0.5000
Bi1 0.5000 0.5000 0.5000


(4)
The following is a PBE calculation of LaTl2Ge2O6 after structural relaxation, from Alexandria via LeMat-Bulk.

Properties
The formation energy without anion corrections is -1678 meV per atom. The symmetry is C2/m, No. 12. The spin magnetization comes out at 0.95 μB per cell.

a b c (Å): 6.2575 6.1961 7.2991
angles (deg): 118.08 90.00 120.33
Last column: magnetic moment on the atom in μB.
Element x y z (fractional)
O1 0.8077 0.0785 0.7655  0.08
O2 0.2379 0.4758 0.3477  0.10
O3 0.7291 0.9215 0.2345  0.08
O4 0.1923 0.9215 0.2345  0.08
O5 0.2709 0.0785 0.7655  0.08
O6 0.7621 0.5242 0.6523  0.10
Tl1 0.2927 0.5853 0.8341  0.00
Tl2 0.7073 0.4147 0.1659  0.00
La1 0.5000 0.0000 0.5000  0.04
Ge1 0.0440 0.0879 0.2094  0.10
Ge2 0.9560 0.9121 0.7906  0.10


(5)
The following is a PBE calculation of Ta2Ti4Ge5 after structural relaxation, from Alexandria via LeMat-Bulk.

Properties
The symmetry is Ibam, No. 72. The spin magnetization comes out at 0.00 μB per cell. Its formation energy is -6.0 eV/f.u.

a b c (Å): 5.3267 7.9812 9.8068
angles (deg): 114.01 105.76 90.00
Element x y z (fractional)
Ge1 0.5648 0.6646 0.1296
Ge2 0.4352 0.3354 0.8704
Ge3 0.7500 0.0000 0.0000
Ge4 0.7106 0.4102 0.4213
Ge5 0.0648 0.4650 0.1296
Ge6 0.2106 0.0111 0.4213
Ge7 0.2500 0.0000 0.0000
Ge8 0.2894 0.5898 0.5787
Ge9 0.7894 0.9889 0.5787
Ge10 0.9352 0.5350 0.8704
Ti1 0.8575 0.7452 0.7150
Ti2 0.9352 0.1922 0.8704
Ti3 0.0648 0.8078 0.1296
Ti4 0.3575 0.9698 0.7150
Ti5 0.4352 0.6782 0.8704
Ti6 0.6425 0.0302 0.2850
Ti7 0.5648 0.3218 0.1296
Ti8 0.1425 0.2548 0.2850
Ta1 0.9402 0.6902 0.3804
Ta2 0.4402 0.6902 0.3804
Ta3 0.0598 0.3098 0.6196
Ta4 0.5598 0.3098 0.6196


(6)
The following is a PBE calculation of FeAsPC after structural relaxation, from Alexandria via LeMat-Bulk.

Properties
The symmetry is P1, No. 1. The spin magnetization comes out at 0.00 μB per cell. Its formation energy is 1.5 eV/f.u.

a b c (Å): 3.0681 3.7073 4.8909
angles (deg): 98.00 95.65 108.71
Element x y z (fractional)
P1 0.2654 0.5901 0.8717
C1 0.3896 0.8812 0.6207
As1 0.8341 0.8512 0.3573
Fe1 0.6538 0.2466 0.0204


(7)
The following is a PBE calculation of CeNdRh2 after structural relaxation, from Alexandria via LeMat-Bulk.

Properties
The symmetry is R3m, No. 160. The spin magnetization comes out at 0.00 μB per cell. Its formation energy is -2.3 eV/f.u.

a b c (Å): 3.9398 3.9398 7.4274
angles (deg): 74.62 74.62 60.00
Element x y z (fractional)
Rh1 0.2567 0.2567 0.2300
Rh2 0.0771 0.0771 0.7687
Ce1 0.6689 0.6689 0.9934
Nd1 0.4974 0.4974 0.5079


(8)
The following is a PBE calculation of TlCr2Cu after structural relaxation, from Alexandria via LeMat-Bulk.

Properties
The symmetry is I4/mmm, No. 139. The spin magnetization comes out at 0.20 μB per cell. Its formation energy is 2.7 eV/f.u.

a b c (Å): 5.0054 5.0054 5.0054
angles (deg): 136.96 136.96 62.50
Last column: magnetic moment on the atom in μB.
Element x y z (fractional)
Cr1 0.0000 0.0000 0.0000  0.10
Cr2 0.5000 0.5000 0.0000  0.10
Cu1 0.2500 0.7500 0.5000  0.00
Tl1 0.7500 0.2500 0.5000  0.00


(9)
The following is a PBE calculation of CuHPb2 after structural relaxation, from Alexandria via LeMat-Bulk.

Properties
The symmetry is Fm-3m, No. 225. The raw total energy comes out at -13.079 eV/cell. The spin magnetization comes out at 0.00 μB per cell.

a b c (Å): 4.7871 4.7871 4.7871
angles (deg): 60.00 60.00 60.00
Element x y z (fractional)
H1 0.0000 0.0000 0.0000
Pb1 0.7500 0.7500 0.7500
Pb2 0.2500 0.2500 0.2500
Cu1 0.5000 0.5000 0.5000


(10)
The following is a PBE calculation of AcBiCl after structural relaxation, from Alexandria via LeMat-Bulk.

Properties
The formation energy without anion corrections is -1402 meV per atom. The symmetry is P-1, No. 2. The spin magnetization comes out at 0.00 μB per cell.

a b c (Å): 4.6736 6.6360 10.8080
angles (deg): 78.61 48.91 62.18
Element x y z (fractional)
Cl1 0.9822 0.7718 0.4519
Cl2 0.0178 0.2282 0.5481
Bi1 0.1654 0.2652 0.0773
Bi2 0.8346 0.7348 0.9227
Ac1 0.2449 0.1305 0.7655
Ac2 0.7551 0.8695 0.2345


(11)
The following is a PBE calculation of La2SmN2 after structural relaxation, from Alexandria via LeMat-Bulk.

Properties
The formation energy without anion corrections is -1061 meV per atom. The symmetry is Immm, No. 71. The spin magnetization comes out at 0.00 μB per cell.

a b c (Å): 3.6144 5.4024 6.4192
angles (deg): 114.88 106.35 90.00
Element x y z (fractional)
N1 0.6650 0.1650 0.3299
N2 0.3350 0.8350 0.6701
La1 0.6796 0.6796 0.3592
La2 0.3204 0.3204 0.6408
Sm1 0.0000 0.0000 0.0000


(12)
The following is a PBE calculation of PaCd2Hg after structural relaxation, from Alexandria via LeMat-Bulk.

Properties
The symmetry is P4/mmm, No. 123. The spin magnetization comes out at 0.47 μB per cell. Its formation energy is 0.4 eV/f.u.

a b c (Å): 3.0456 3.0456 10.0359
angles (deg): 90.00 90.00 90.00
Last column: magnetic moment on the atom in μB.
Element x y z (fractional)
Hg1 0.5000 0.5000 0.0000  0.00
Cd1 0.0000 0.0000 0.2433  0.00
Cd2 0.0000 0.0000 0.7567  0.00
Pa1 0.5000 0.5000 0.5000  0.42